Entry w
Entry from Alexandria via LeMat-Bulk: crystalline LiPtN at its relaxed geometry (PBE-GGA). Values from VASP.

Output
Theoretical density (Mg/m³): 9.0
M_tot (μB per formula unit): 0.000
Crystal system: orthorhombic
Space-group type: Pnma, No. 62

Quantum ESPRESSO input file:
```
&SYSTEM
  ibrav = 0, nat = 12, ntyp = 3
/
ATOMIC_SPECIES
N 14.01 N.upf
Pt 195.08 Pt.upf
Li 6.94 Li.upf
CELL_PARAMETERS angstrom
3.272 0.000 0.000
0.000 5.642 0.000
0.000 0.000 8.645
ATOMIC_POSITIONS crystal
N 0.750 0.811 0.627
N 0.750 0.689 0.127
N 0.250 0.311 0.873
N 0.250 0.189 0.373
Pt 0.250 0.638 0.587
Pt 0.750 0.138 0.913
Pt 0.250 0.862 0.087
Pt 0.750 0.362 0.413
Li 0.750 0.890 0.363
Li 0.250 0.390 0.137
Li 0.750 0.610 0.863
Li 0.250 0.110 0.637
```

Entry x
Entry from Alexandria via LeMat-Bulk: crystalline LiPtN at its relaxed geometry (PBE-GGA). Values from VASP.

Output
Theoretical density (Mg/m³): 8.5
M_tot (μB per formula unit): 0.000
Crystal system: monoclinic
Space-group type: C2/m, No. 12

Quantum ESPRESSO input file:
```
&SYSTEM
  ibrav = 0, nat = 6, ntyp = 3
/
ATOMIC_SPECIES
Pt 195.08 Pt.upf
N 14.01 N.upf
Li 6.94 Li.upf
CELL_PARAMETERS angstrom
3.676 -0.831 0.320
-0.856 4.959 0.955
0.117 2.594 5.392
ATOMIC_POSITIONS crystal
Pt 0.500 0.000 0.209
Pt 0.500 0.000 0.791
N 0.839 0.001 0.500
N 0.161 0.999 0.500
Li 0.804 0.598 0.201
Li 0.196 0.402 0.799
```

Entry y
Entry from Alexandria via LeMat-Bulk: crystalline LiPtN at its relaxed geometry (PBE-GGA). Values from VASP.

Output
Theoretical density (Mg/m³): 7.6
M_tot (μB per formula unit): 0.000
Crystal system: hexagonal
Space-group type: P-6m2, No. 187

Quantum ESPRESSO input file:
```
&SYSTEM
  ibrav = 0, nat = 3, ntyp = 3
/
ATOMIC_SPECIES
Li 6.94 Li.upf
N 14.01 N.upf
Pt 195.08 Pt.upf
CELL_PARAMETERS angstrom
3.828 0.000 0.000
-1.914 3.315 0.000
0.000 0.000 3.695
ATOMIC_POSITIONS crystal
Li 0.000 0.000 0.500
N 0.667 0.333 0.500
Pt 0.667 0.333 0.000
```

The structure with the most favorable energy is entry y; the runner-up is 119 meV per atom above it.

Entry w
Entry from Alexandria via LeMat-Bulk: crystalline Li3PtN at its relaxed geometry (PBE-GGA). Values from VASP.

Output
Theoretical density (Mg/m³): 6.6
M_tot (μB per formula unit): 0.000
Crystal system: cubic
Space-group type: Pm-3m, No. 221

Quantum ESPRESSO input file:
```
&SYSTEM
  ibrav = 0, nat = 5, ntyp = 3
/
ATOMIC_SPECIES
Li 6.94 Li.upf
Pt 195.08 Pt.upf
N 14.01 N.upf
CELL_PARAMETERS angstrom
3.869 0.000 0.000
0.000 3.869 0.000
0.000 0.000 3.869
ATOMIC_POSITIONS crystal
Li 0.000 0.000 0.500
Li 0.000 0.500 0.000
Li 0.500 0.000 0.000
Pt 0.500 0.500 0.500
N 0.000 0.000 0.000
```

Entry x
Entry from Alexandria via LeMat-Bulk: crystalline Li3PtN at its relaxed geometry (PBE-GGA). Values from VASP.

Output
Theoretical density (Mg/m³): 3.7
M_tot (μB per formula unit): 2.000
Crystal system: cubic
Space-group type: Pm-3m, No. 221

Quantum ESPRESSO input file:
```
&SYSTEM
  ibrav = 0, nat = 5, ntyp = 3
/
ATOMIC_SPECIES
Pt 195.08 Pt.upf
Li 6.94 Li.upf
N 14.01 N.upf
CELL_PARAMETERS angstrom
-2.538 2.718 2.892
-2.358 -3.794 1.496
3.192 -0.642 3.404
ATOMIC_POSITIONS crystal
Pt 0.000 0.000 0.000
Li 0.000 0.000 0.500
Li 0.000 0.500 0.000
Li 0.500 0.000 0.000
N 0.500 0.500 0.500
```

The structure with the most favorable energy is entry w; the runner-up is 766 meV per atom above it.

Entry w
Entry from Alexandria via LeMat-Bulk: crystalline LiPtN2 at its relaxed geometry (PBE-GGA). Values from VASP.

Output
Theoretical density (Mg/m³): 10.5
M_tot (μB per formula unit): 0.000
Crystal system: cubic
Space-group type: Fm-3m, No. 225

Quantum ESPRESSO input file:
```
&SYSTEM
  ibrav = 0, nat = 4, ntyp = 3
/
ATOMIC_SPECIES
Li 6.94 Li.upf
N 14.01 N.upf
Pt 195.08 Pt.upf
CELL_PARAMETERS angstrom
-2.093 -1.386 -2.746
-3.080 1.788 -1.075
-0.103 1.707 -3.303
ATOMIC_POSITIONS crystal
Li 0.000 0.000 0.000
N 0.250 0.250 0.250
N 0.750 0.750 0.750
Pt 0.500 0.500 0.500
```

Entry x
Entry from Alexandria via LeMat-Bulk: crystalline LiPtN2 at its relaxed geometry (PBE-GGA). Values from VASP.

Output
Theoretical density (Mg/m³): 7.5
M_tot (μB per formula unit): 0.000
Crystal system: tetragonal
Space-group type: I-42d, No. 122

Quantum ESPRESSO input file:
```
&SYSTEM
  ibrav = 0, nat = 8, ntyp = 3
/
ATOMIC_SPECIES
Pt 195.08 Pt.upf
Li 6.94 Li.upf
N 14.01 N.upf
CELL_PARAMETERS angstrom
-0.574 3.440 -3.193
-4.354 -1.591 -0.931
-4.146 3.639 1.165
ATOMIC_POSITIONS crystal
Pt 0.000 0.000 0.000
Pt 0.750 0.250 0.500
Li 0.500 0.500 0.000
Li 0.250 0.750 0.500
N 0.100 0.625 0.250
N 0.650 0.125 0.250
N 0.875 0.900 0.750
N 0.375 0.350 0.750
```

The structure with the most favorable energy is entry x; the runner-up is 203 meV per atom above it.

Entry w
Entry from Alexandria via LeMat-Bulk: crystalline LiPtN2 at its relaxed geometry (PBE-GGA). Values from VASP.

Output
Theoretical density (Mg/m³): 7.6
M_tot (μB per formula unit): 0.000
Crystal system: trigonal
Space-group type: R-3m, No. 166

Quantum ESPRESSO input file:
```
&SYSTEM
  ibrav = 0, nat = 4, ntyp = 3
/
ATOMIC_SPECIES
Li 6.94 Li.upf
Pt 195.08 Pt.upf
N 14.01 N.upf
CELL_PARAMETERS angstrom
-1.426 1.535 5.583
-0.434 -1.514 5.752
1.714 0.870 5.645
ATOMIC_POSITIONS crystal
Li 0.000 0.000 0.000
Pt 0.500 0.500 0.500
N 0.111 0.111 0.111
N 0.889 0.889 0.889
```

Entry x
Entry from Alexandria via LeMat-Bulk: crystalline LiPtN2 at its relaxed geometry (PBE-GGA). Values from VASP.

Output
Theoretical density (Mg/m³): 7.3
M_tot (μB per formula unit): 0.000
Crystal system: trigonal
Space-group type: R-3m, No. 166

Quantum ESPRESSO input file:
```
&SYSTEM
  ibrav = 0, nat = 4, ntyp = 3
/
ATOMIC_SPECIES
Li 6.94 Li.upf
N 14.01 N.upf
Pt 195.08 Pt.upf
CELL_PARAMETERS angstrom
-0.898 5.239 3.606
0.852 3.367 5.403
2.202 5.121 3.190
ATOMIC_POSITIONS crystal
Li 0.500 0.500 0.500
N 0.097 0.097 0.097
N 0.903 0.903 0.903
Pt 0.000 0.000 0.000
```

The structure with the most favorable energy is entry w; the runner-up is 388 meV per atom above it.

Entry w
Entry from Alexandria via LeMat-Bulk: crystalline LiPtSe2N at its relaxed geometry (PBE-GGA). Values from VASP.

Output
Theoretical density (Mg/m³): 6.0
M_tot (μB per formula unit): 0.000
Crystal system: tetragonal
Space-group type: P4/mmm, No. 123

Quantum ESPRESSO input file:
```
&SYSTEM
  ibrav = 0, nat = 5, ntyp = 4
/
ATOMIC_SPECIES
N 14.01 N.upf
Se 78.96 Se.upf
Li 6.94 Li.upf
Pt 195.08 Pt.upf
CELL_PARAMETERS angstrom
5.343 0.000 0.000
0.000 3.651 0.000
0.000 0.000 5.343
ATOMIC_POSITIONS crystal
N 0.000 0.500 0.000
Se 0.500 0.000 0.000
Se 0.000 0.000 0.500
Li 0.500 0.500 0.500
Pt 0.000 0.000 0.000
```

Entry x
Entry from Alexandria via LeMat-Bulk: crystalline LiPtSe2N at its relaxed geometry (PBE-GGA). Values from VASP.

Output
Theoretical density (Mg/m³): 8.1
M_tot (μB per formula unit): 1.312
Crystal system: tetragonal
Space-group type: P4/mmm, No. 123

Quantum ESPRESSO input file:
```
&SYSTEM
  ibrav = 0, nat = 5, ntyp = 4
/
ATOMIC_SPECIES
Se 78.96 Se.upf
Pt 195.08 Pt.upf
Li 6.94 Li.upf
N 14.01 N.upf
CELL_PARAMETERS angstrom
4.750 0.000 0.000
0.000 4.750 0.000
0.000 0.000 3.415
ATOMIC_POSITIONS crystal
Se 0.500 0.000 0.000
Se 0.000 0.500 0.000
Pt 0.500 0.500 0.500
Li 0.000 0.000 0.000
N 0.000 0.000 0.500
```

The structure with the most favorable energy is entry w; the runner-up is 766 meV per atom above it.

Entry w
Entry from Alexandria via LeMat-Bulk: crystalline LiPtSeN2 at its relaxed geometry (PBE-GGA). Values from VASP.

Output
Theoretical density (Mg/m³): 7.7
M_tot (μB per formula unit): 1.658
Crystal system: tetragonal
Space-group type: P4/mmm, No. 123

Quantum ESPRESSO input file:
```
&SYSTEM
  ibrav = 0, nat = 5, ntyp = 4
/
ATOMIC_SPECIES
N 14.01 N.upf
Pt 195.08 Pt.upf
Li 6.94 Li.upf
Se 78.96 Se.upf
CELL_PARAMETERS angstrom
3.679 0.000 0.000
0.000 3.679 0.000
0.000 0.000 4.940
ATOMIC_POSITIONS crystal
N 0.500 0.000 0.000
N 0.000 0.500 0.000
Pt 0.500 0.500 0.500
Li 0.000 0.000 0.000
Se 0.000 0.000 0.500
```

Entry x
Entry from Alexandria via LeMat-Bulk: crystalline LiPtSeN2 at its relaxed geometry (PBE-GGA). Values from VASP.

Output
Theoretical density (Mg/m³): 6.3
M_tot (μB per formula unit): 0.000
Crystal system: tetragonal
Space-group type: P4/mmm, No. 123

Quantum ESPRESSO input file:
```
&SYSTEM
  ibrav = 0, nat = 5, ntyp = 4
/
ATOMIC_SPECIES
Li 6.94 Li.upf
N 14.01 N.upf
Pt 195.08 Pt.upf
Se 78.96 Se.upf
CELL_PARAMETERS angstrom
-3.645 0.161 1.099
0.375 -3.371 1.737
1.544 2.614 4.740
ATOMIC_POSITIONS crystal
Li 0.500 0.500 0.500
N 0.000 0.500 0.000
N 0.500 0.000 0.000
Pt 0.000 0.000 0.000
Se 0.000 0.000 0.500
```

The structure with the most favorable energy is entry x; the runner-up is 932 meV per atom above it.